(1)
Li4Dy3SnS8 after structural relaxation. Source: the Alexandria database, functional PBE-GGA.

Structure (CIF):
```
data_Li4Dy3SnS8
_chemical_formula_sum 'Li12 Dy9 Sn3 S24'
_cell_length_a 7.8116
_cell_length_b 7.8116
_cell_length_c 18.5180
_cell_angle_alpha 90.00
_cell_angle_beta 90.00
_cell_angle_gamma 120.00
_space_group_name_H-M_alt 'R -3 m'
_space_group_IT_number 166
_space_group_name_Hall '-R 3 2"'
loop_
_atom_site_label
_atom_site_fract_x
_atom_site_fract_y
_atom_site_fract_z
Li1 0.0000 0.0000 0.0000
Li2 0.0000 0.5000 0.0000
Dy1 0.0000 0.5000 0.5000
Sn1 0.0000 0.0000 0.5000
S1 0.0000 0.0000 0.2502
S2 0.0020 0.5010 0.2502
```

Properties
E_form (uncorrected): -1.559 eV/atom
Fermi-level density of states: 0.11 states/eV per atom

***

(2)
AlGeBi2S after structural relaxation. Source: the Alexandria database, functional PBE-GGA.

Structure (CIF):
```
data_AlGeBi2S
_chemical_formula_sum 'Al1 Ge1 Bi2 S1'
_cell_length_a 5.5129
_cell_length_b 5.5129
_cell_length_c 4.6733
_cell_angle_alpha 90.00
_cell_angle_beta 90.00
_cell_angle_gamma 90.00
_space_group_name_H-M_alt 'P 4/m m m'
_space_group_IT_number 123
_space_group_name_Hall '-P 4 2'
loop_
_atom_site_label
_atom_site_fract_x
_atom_site_fract_y
_atom_site_fract_z
Al1 0.0000 0.0000 0.0000
Ge1 0.0000 0.0000 0.5000
Bi1 0.0000 0.5000 0.0000
S1 0.5000 0.5000 0.5000
```

Properties
E_form (uncorrected): 0.683 eV/atom
Fermi-level density of states: 1.10 states/eV per atom

***

(3)
Fe2NiS4 after structural relaxation. Source: the Alexandria database, functional PBE-GGA.

Structure (CIF):
```
data_Fe2NiS4
_chemical_formula_sum 'Fe4 Ni2 S8'
_cell_length_a 4.6242
_cell_length_b 4.6242
_cell_length_c 11.1628
_cell_angle_alpha 90.00
_cell_angle_beta 90.00
_cell_angle_gamma 90.00
_space_group_name_H-M_alt 'I 4/m m m'
_space_group_IT_number 139
_space_group_name_Hall '-I 4 2'
loop_
_atom_site_label
_atom_site_fract_x
_atom_site_fract_y
_atom_site_fract_z
Fe1 0.0000 0.0000 0.1075
Ni1 0.0000 0.0000 0.5000
S1 0.0000 0.0000 0.2956
S2 0.0000 0.5000 0.0000
```

Properties
E_form (uncorrected): 0.253 eV/atom
Fermi-level density of states: 0.97 states/eV per atom

***

(4)
Sr2TaW after structural relaxation. Source: the Alexandria database, functional PBE-GGA.

Structure (CIF):
```
data_Sr2TaW
_chemical_formula_sum 'Sr2 Ta1 W1'
_cell_length_a 4.1583
_cell_length_b 4.1583
_cell_length_c 5.5454
_cell_angle_alpha 90.00
_cell_angle_beta 90.00
_cell_angle_gamma 90.00
_space_group_name_H-M_alt 'P 4/m m m'
_space_group_IT_number 123
_space_group_name_Hall '-P 4 2'
loop_
_atom_site_label
_atom_site_fract_x
_atom_site_fract_y
_atom_site_fract_z
Sr1 0.0000 0.5000 0.0000
Ta1 0.0000 0.0000 0.5000
W1 0.5000 0.5000 0.5000
```

Properties
energy above the lowest structure with this stoichiometry: 0.704 eV per atom
Fermi-level density of states: 0.98 states/eV per atom
energy of formation: 1.26 eV per atom

***

(5)
HoCuCl after structural relaxation. Source: the Alexandria database, functional PBE-GGA.

Structure (CIF):
```
data_HoCuCl
_chemical_formula_sum 'Ho2 Cu2 Cl2'
_cell_length_a 3.6005
_cell_length_b 3.6005
_cell_length_c 12.2455
_cell_angle_alpha 90.00
_cell_angle_beta 90.00
_cell_angle_gamma 120.00
_space_group_name_H-M_alt 'P -6 m 2'
_space_group_IT_number 187
_space_group_name_Hall 'P -6 2'
loop_
_atom_site_label
_atom_site_fract_x
_atom_site_fract_y
_atom_site_fract_z
Ho1 0.0000 0.0000 0.1561
Cu1 0.6667 0.3333 0.0000
Cu2 0.6667 0.3333 0.5000
Cl1 0.6667 0.3333 0.3180
```

Properties
E_form (uncorrected): -0.608 eV/atom
Fermi-level density of states: 0.38 states/eV per atom

***

(6)
Ce5PuGaSi2 after structural relaxation. Source: the Alexandria database, functional PBE-GGA.

Structure (CIF):
```
data_Ce5PuGaSi2
_chemical_formula_sum 'Ce20 Pu4 Ga4 Si8'
_cell_length_a 7.4412
_cell_length_b 7.4412
_cell_length_c 15.7294
_cell_angle_alpha 90.00
_cell_angle_beta 90.00
_cell_angle_gamma 90.00
_space_group_name_H-M_alt 'I 4/m c m'
_space_group_IT_number 140
_space_group_name_Hall '-I 4 2c'
loop_
_atom_site_label
_atom_site_fract_x
_atom_site_fract_y
_atom_site_fract_z
Ce1 0.0000 0.0000 0.0000
Ce2 0.1850 0.3150 0.1335
Pu1 0.0000 0.5000 0.2500
Ga1 0.0000 0.0000 0.2500
Si1 0.1147 0.3853 0.5000
```

Properties
E_form (uncorrected): -0.369 eV/atom
Fermi-level density of states: 2.08 states/eV per atom

***

(7)
Li2Nd3Cd7 after structural relaxation. Source: the Alexandria database, functional PBE-GGA.

Structure (CIF):
```
data_Li2Nd3Cd7
_chemical_formula_sum 'Li6 Nd9 Cd21'
_cell_length_a 5.9508
_cell_length_b 5.9508
_cell_length_c 28.1333
_cell_angle_alpha 90.00
_cell_angle_beta 90.00
_cell_angle_gamma 120.00
_space_group_name_H-M_alt 'R -3 m'
_space_group_IT_number 166
_space_group_name_Hall '-R 3 2"'
loop_
_atom_site_label
_atom_site_fract_x
_atom_site_fract_y
_atom_site_fract_z
Li1 0.0000 0.0000 0.1666
Nd1 0.0000 0.0000 0.3626
Nd2 0.0000 0.0000 0.5000
Cd1 0.0000 0.0000 0.0000
Cd2 0.0037 0.5018 0.4210
```

Properties
Fermi-level density of states: 0.79 states/eV per atom
energy of formation: -0.27 eV per atom

***

(8)
Ag2Sn6Au after structural relaxation. Source: the Alexandria database, functional PBE-GGA.

Structure (CIF):
```
data_Ag2Sn6Au
_chemical_formula_sum 'Ag6 Sn18 Au3'
_cell_length_a 6.5715
_cell_length_b 6.5715
_cell_length_c 18.0538
_cell_angle_alpha 90.00
_cell_angle_beta 90.00
_cell_angle_gamma 120.00
_space_group_name_H-M_alt 'R -3'
_space_group_IT_number 148
_space_group_name_Hall '-R 3'
loop_
_atom_site_label
_atom_site_fract_x
_atom_site_fract_y
_atom_site_fract_z
Ag1 0.0000 0.0000 0.1594
Sn1 0.0361 0.4063 0.0748
Au1 0.0000 0.0000 0.0000
```

Properties
Fermi-level density of states: 0.32 states/eV per atom
energy of formation: 0.02 eV per atom

***

(9)
Y3Cd2Ir after structural relaxation. Source: the Alexandria database, functional PBE-GGA.

Structure (CIF):
```
data_Y3Cd2Ir
_chemical_formula_sum 'Y6 Cd4 Ir2'
_cell_length_a 5.0766
_cell_length_b 7.4947
_cell_length_c 8.0130
_cell_angle_alpha 90.00
_cell_angle_beta 108.39
_cell_angle_gamma 90.00
_space_group_name_H-M_alt 'P 1 2/m 1'
_space_group_IT_number 10
_space_group_name_Hall '-P 2y'
loop_
_atom_site_label
_atom_site_fract_x
_atom_site_fract_y
_atom_site_fract_z
Y1 0.0000 0.2336 0.0000
Y2 0.3259 0.2235 0.6518
Cd1 0.1642 0.5000 0.3295
Cd2 0.5000 0.0000 0.0000
Cd3 0.5000 0.5000 0.0000
Ir1 0.1584 0.0000 0.3166
```

Properties
Fermi-level density of states: 0.51 states/eV per atom
energy of formation: -0.53 eV per atom

***

(10)
Sc2TcRhN after structural relaxation. Source: the Alexandria database, functional PBE-GGA.

Structure (CIF):
```
data_Sc2TcRhN
_chemical_formula_sum 'Sc2 Tc1 Rh1 N1'
_cell_length_a 5.1066
_cell_length_b 5.1066
_cell_length_c 3.6570
_cell_angle_alpha 90.00
_cell_angle_beta 90.00
_cell_angle_gamma 90.00
_space_group_name_H-M_alt 'P 4/m m m'
_space_group_IT_number 123
_space_group_name_Hall '-P 4 2'
loop_
_atom_site_label
_atom_site_fract_x
_atom_site_fract_y
_atom_site_fract_z
Sc1 0.0000 0.5000 0.0000
Tc1 0.0000 0.0000 0.5000
Rh1 0.5000 0.5000 0.0000
N1 0.5000 0.5000 0.5000
```

Properties
E_form (uncorrected): 0.514 eV/atom
Fermi-level density of states: 0.93 states/eV per atom

***

(11)
TmBiPd2 after structural relaxation. Source: the Alexandria database, functional PBE-GGA.

Structure (CIF):
```
data_TmBiPd2
_chemical_formula_sum 'Tm1 Bi1 Pd2'
_cell_length_a 3.5992
_cell_length_b 3.5992
_cell_length_c 6.5400
_cell_angle_alpha 90.00
_cell_angle_beta 90.00
_cell_angle_gamma 90.00
_space_group_name_H-M_alt 'P 4/m m m'
_space_group_IT_number 123
_space_group_name_Hall '-P 4 2'
loop_
_atom_site_label
_atom_site_fract_x
_atom_site_fract_y
_atom_site_fract_z
Tm1 0.0000 0.0000 0.0000
Bi1 0.0000 0.0000 0.5000
Pd1 0.5000 0.5000 0.2247
```

Properties
energy above the lowest structure with this stoichiometry: 0.059 eV per atom
Fermi-level density of states: 0.90 states/eV per atom
energy of formation: -0.68 eV per atom

***

(12)
LaPrY after structural relaxation. Source: the Alexandria database, functional PBE-GGA.

Structure (CIF):
```
data_LaPrY
_chemical_formula_sum 'La2 Pr2 Y2'
_cell_length_a 3.6745
_cell_length_b 6.3818
_cell_length_c 9.7161
_cell_angle_alpha 96.14
_cell_angle_beta 100.89
_cell_angle_gamma 106.72
_space_group_name_H-M_alt 'P -1'
_space_group_IT_number 2
_space_group_name_Hall '-P 1'
loop_
_atom_site_label
_atom_site_fract_x
_atom_site_fract_y
_atom_site_fract_z
La1 0.0825 0.2485 0.4132
Pr1 0.2453 0.7458 0.2460
Y1 0.4136 0.2464 0.0792
```

Properties
energy above the lowest structure with this stoichiometry: 0.003 eV per atom
Fermi-level density of states: 1.77 states/eV per atom
energy of formation: 0.02 eV per atom

***

(13)
HfZrReIr after structural relaxation. Source: the Alexandria database, functional PBE-GGA.

Structure (CIF):
```
data_HfZrReIr
_chemical_formula_sum 'Hf4 Zr4 Re4 Ir4'
_cell_length_a 6.5705
_cell_length_b 6.5705
_cell_length_c 6.5705
_cell_angle_alpha 90.00
_cell_angle_beta 90.00
_cell_angle_gamma 90.00
_space_group_name_H-M_alt 'F -4 3 m'
_space_group_IT_number 216
_space_group_name_Hall 'F -4 2 3'
loop_
_atom_site_label
_atom_site_fract_x
_atom_site_fract_y
_atom_site_fract_z
Hf1 0.0000 0.0000 0.0000
Zr1 0.0000 0.0000 0.5000
Re1 0.2500 0.2500 0.2500
Ir1 0.2500 0.2500 0.7500
```

Properties
Fermi-level density of states: 0.30 states/eV per atom
energy of formation: -0.66 eV per atom

***

(14)
Li6MgPb5 after structural relaxation. Source: the Alexandria database, functional PBE-GGA.

Structure (CIF):
```
data_Li6MgPb5
_chemical_formula_sum 'Li12 Mg2 Pb10'
_cell_length_a 15.3939
_cell_length_b 7.3039
_cell_length_c 4.8951
_cell_angle_alpha 90.00
_cell_angle_beta 107.77
_cell_angle_gamma 90.00
_space_group_name_H-M_alt 'C 1 2/m 1'
_space_group_IT_number 12
_space_group_name_Hall '-C 2y'
loop_
_atom_site_label
_atom_site_fract_x
_atom_site_fract_y
_atom_site_fract_z
Li1 0.0000 0.2370 0.0000
Li2 0.1693 0.2448 0.6696
Mg1 0.0000 0.5000 0.5000
Pb1 0.0000 0.0000 0.5000
Pb2 0.1549 0.5000 0.1566
Pb3 0.1692 0.0000 0.1691
```

Properties
Fermi-level density of states: 0.33 states/eV per atom
energy of formation: -0.25 eV per atom

***

(15)
CoNiB after structural relaxation. Source: the Alexandria database, functional PBE-GGA.

Structure (CIF):
```
data_CoNiB
_chemical_formula_sum 'Co8 Ni8 B8'
_cell_length_a 4.2134
_cell_length_b 7.0133
_cell_length_c 7.0659
_cell_angle_alpha 90.00
_cell_angle_beta 90.00
_cell_angle_gamma 90.00
_space_group_name_H-M_alt 'F m m m'
_space_group_IT_number 69
_space_group_name_Hall '-F 2 2'
loop_
_atom_site_label
_atom_site_fract_x
_atom_site_fract_y
_atom_site_fract_z
Co1 0.0000 0.0000 0.1667
Ni1 0.0000 0.1685 0.5000
B1 0.2500 0.2500 0.2500
```

Properties
Fermi-level density of states: 0.93 states/eV per atom
energy of formation: -0.26 eV per atom

***

(16)
LiNd2Ir2 after structural relaxation. Source: the Alexandria database, functional PBE-GGA.

Structure (CIF):
```
data_LiNd2Ir2
_chemical_formula_sum 'Li4 Nd8 Ir8'
_cell_length_a 10.1446
_cell_length_b 5.5346
_cell_length_c 8.1309
_cell_angle_alpha 90.00
_cell_angle_beta 106.95
_cell_angle_gamma 90.00
_space_group_name_H-M_alt 'C 1 2/c 1'
_space_group_IT_number 15
_space_group_name_Hall '-C 2yc'
loop_
_atom_site_label
_atom_site_fract_x
_atom_site_fract_y
_atom_site_fract_z
Li1 0.0000 0.1287 0.2500
Nd1 0.1459 0.3442 0.6483
Ir1 0.1356 0.1498 0.0120
```

Properties
energy above the lowest structure with this stoichiometry: 0.021 eV per atom
Fermi-level density of states: 0.40 states/eV per atom
energy of formation: -0.52 eV per atom

***

(17)
BaGdAuSe3 after structural relaxation. Source: the Alexandria database, functional PBE-GGA.

Structure (CIF):
```
data_BaGdAuSe3
_chemical_formula_sum 'Ba4 Gd4 Au4 Se12'
_cell_length_a 4.2862
_cell_length_b 14.3324
_cell_length_c 10.8433
_cell_angle_alpha 90.00
_cell_angle_beta 90.00
_cell_angle_gamma 90.00
_space_group_name_H-M_alt 'C m c m'
_space_group_IT_number 63
_space_group_name_Hall '-C 2c 2'
loop_
_atom_site_label
_atom_site_fract_x
_atom_site_fract_y
_atom_site_fract_z
Ba1 0.0000 0.2471 0.2500
Gd1 0.0000 0.0000 0.0000
Au1 0.0000 0.4660 0.7500
Se1 0.0000 0.0798 0.7500
Se2 0.0000 0.3623 0.5513
```

Properties
E_form (uncorrected): -1.520 eV/atom

***

(18)
AlCr2Ru after structural relaxation. Source: the Alexandria database, functional PBE-GGA.

Structure (CIF):
```
data_AlCr2Ru
_chemical_formula_sum 'Al2 Cr4 Ru2'
_cell_length_a 4.9062
_cell_length_b 8.3069
_cell_length_c 2.6450
_cell_angle_alpha 90.00
_cell_angle_beta 107.01
_cell_angle_gamma 90.00
_space_group_name_H-M_alt 'C 1 2/m 1'
_space_group_IT_number 12
_space_group_name_Hall '-C 2y'
loop_
_atom_site_label
_atom_site_fract_x
_atom_site_fract_y
_atom_site_fract_z
Al1 0.0000 0.0000 0.0000
Cr1 0.2500 0.2500 0.5000
Ru1 0.0000 0.5000 0.0000
```

Properties
Fermi-level density of states: 1.07 states/eV per atom
energy of formation: -0.02 eV per atom

***

(19)
TbTc6Ge4 after structural relaxation. Source: the Alexandria database, functional PBE-GGA.

Structure (CIF):
```
data_TbTc6Ge4
_chemical_formula_sum 'Tb2 Tc12 Ge8'
_cell_length_a 6.4866
_cell_length_b 6.4866
_cell_length_c 9.5335
_cell_angle_alpha 90.00
_cell_angle_beta 90.00
_cell_angle_gamma 90.00
_space_group_name_H-M_alt 'I -4 2 m'
_space_group_IT_number 121
_space_group_name_Hall 'I -4 2'
loop_
_atom_site_label
_atom_site_fract_x
_atom_site_fract_y
_atom_site_fract_z
Tb1 0.0000 0.0000 0.0000
Tc1 0.0000 0.5000 0.0000
Tc2 0.1542 0.1542 0.4083
Ge1 0.2236 0.2236 0.6753
```

Properties
Fermi-level density of states: 0.85 states/eV per atom
energy of formation: 0.09 eV per atom

***

(20)
Pm2Ga2Cl after structural relaxation. Source: the Alexandria database, functional PBE-GGA.

Structure (CIF):
```
data_Pm2Ga2Cl
_chemical_formula_sum 'Pm4 Ga4 Cl2'
_cell_length_a 7.2730
_cell_length_b 4.2064
_cell_length_c 8.0537
_cell_angle_alpha 90.00
_cell_angle_beta 107.61
_cell_angle_gamma 90.00
_space_group_name_H-M_alt 'C 1 2/m 1'
_space_group_IT_number 12
_space_group_name_Hall '-C 2y'
loop_
_atom_site_label
_atom_site_fract_x
_atom_site_fract_y
_atom_site_fract_z
Pm1 0.0889 0.0000 0.2649
Ga1 0.1770 0.5000 0.0304
Cl1 0.0000 0.5000 0.5000
```

Properties
E_form (uncorrected): -1.030 eV/atom
Fermi-level density of states: 0.34 states/eV per atom